1.
Compound: H2Pb
Source: the Alexandria database
Functional: GGA-PBE
Structure: relaxed

Summary:
E_tot, eV/atom: -3.33
Fermi-level density of states, states/eV/atom: 0.139

Cell and atoms, written as CIF:
```
data_H2Pb
_chemical_formula_sum 'H2 Pb1'
_symmetry_space_group_name_H-M 'P 1'
_symmetry_Int_Tables_number 1
_cell_length_a 3.278
_cell_length_b 3.278
_cell_length_c 6.690
_cell_angle_alpha 91.28
_cell_angle_beta 92.86
_cell_angle_gamma 119.99
loop_
_symmetry_equiv_pos_as_xyz
'x,y,z'
loop_
_atom_site_label
_atom_site_type_symbol
_atom_site_fract_x
_atom_site_fract_y
_atom_site_fract_z
H1 H 0.000 0.000 0.000
H2 H 0.025 0.011 0.114
Pb1 Pb 0.163 0.372 0.557
```

---

2.
Compound: H2Pb
Source: the Alexandria database
Functional: GGA-PBE
Structure: relaxed

Summary:
E_tot, eV/atom: -3.43
Fermi-level density of states, states/eV/atom: 0.043

Cell and atoms, written as CIF:
```
data_H2Pb
_chemical_formula_sum 'H4 Pb2'
_symmetry_space_group_name_H-M 'P 1 c 1'
_symmetry_Int_Tables_number 7
_cell_length_a 3.384
_cell_length_b 9.846
_cell_length_c 4.427
_cell_angle_alpha 90.00
_cell_angle_beta 130.84
_cell_angle_gamma 90.00
loop_
_symmetry_equiv_pos_as_xyz
'x,y,z'
'x,-y,z+1/2'
loop_
_atom_site_label
_atom_site_type_symbol
_atom_site_fract_x
_atom_site_fract_y
_atom_site_fract_z
H1 H 0.000 0.043 0.000
H2 H 0.005 0.117 0.967
Pb1 Pb 0.002 0.377 0.483
```

---

3.
Compound: H2Pb
Source: the Alexandria database
Functional: GGA-PBE
Structure: relaxed

Summary:
E_tot, eV/atom: -3.19
Fermi-level density of states, states/eV/atom: 0.150

Cell and atoms, written as CIF:
```
data_H2Pb
_chemical_formula_sum 'H4 Pb2'
_symmetry_space_group_name_H-M 'P -1'
_symmetry_Int_Tables_number 2
_cell_length_a 4.212
_cell_length_b 4.678
_cell_length_c 5.387
_cell_angle_alpha 106.01
_cell_angle_beta 100.59
_cell_angle_gamma 90.21
loop_
_symmetry_equiv_pos_as_xyz
'x,y,z'
'-x,-y,-z'
loop_
_atom_site_label
_atom_site_type_symbol
_atom_site_fract_x
_atom_site_fract_y
_atom_site_fract_z
H1 H 0.039 0.064 0.059
H2 H 0.218 0.493 0.377
Pb1 Pb 0.385 0.296 0.687
```

---

4.
Compound: H4Pb
Source: the Alexandria database
Functional: GGA-PBE
Structure: relaxed

Summary:
E_tot, eV/atom: -3.36
Fermi-level density of states, states/eV/atom: 0.117

Cell and atoms, written as CIF:
```
data_H4Pb
_chemical_formula_sum 'H8 Pb2'
_symmetry_space_group_name_H-M 'P 1'
_symmetry_Int_Tables_number 1
_cell_length_a 3.286
_cell_length_b 5.561
_cell_length_c 11.368
_cell_angle_alpha 86.39
_cell_angle_beta 85.92
_cell_angle_gamma 89.96
loop_
_symmetry_equiv_pos_as_xyz
'x,y,z'
loop_
_atom_site_label
_atom_site_type_symbol
_atom_site_fract_x
_atom_site_fract_y
_atom_site_fract_z
H1 H 0.000 0.000 0.000
H2 H 0.009 0.423 0.798
H3 H 0.091 0.545 0.777
H4 H 0.415 0.546 0.011
H5 H 0.461 0.564 0.074
H6 H 0.532 0.992 0.716
H7 H 0.580 0.973 0.780
H8 H 0.898 0.118 0.011
Pb1 Pb 0.237 0.005 0.361
Pb2 Pb 0.719 0.497 0.432
```

---

5.
Compound: H2Pb
Source: the Alexandria database
Functional: GGA-PBE
Structure: relaxed

Summary:
E_tot, eV/atom: -2.81
Fermi-level density of states, states/eV/atom: 0.370

Cell and atoms, written as CIF:
```
data_H2Pb
_chemical_formula_sum 'H4 Pb2'
_symmetry_space_group_name_H-M 'I 4/m m m'
_symmetry_Int_Tables_number 139
_symmetry_space_group_name_Hall '-I 4 2'
_cell_length_a 3.312
_cell_length_b 3.312
_cell_length_c 6.910
_cell_angle_alpha 90.00
_cell_angle_beta 90.00
_cell_angle_gamma 90.00
loop_
_atom_site_label
_atom_site_type_symbol
_atom_site_fract_x
_atom_site_fract_y
_atom_site_fract_z
H1 H 0.000 0.000 0.169
Pb1 Pb 0.000 0.000 0.500
```

---

6.
Compound: H4Pb
Source: the Alexandria database
Functional: GGA-PBE
Structure: relaxed

Summary:
E_tot, eV/atom: -2.62
Fermi-level density of states, states/eV/atom: 0.063

Cell and atoms, written as CIF:
```
data_H4Pb
_chemical_formula_sum 'H4 Pb1'
_symmetry_space_group_name_H-M 'P m -3 m'
_symmetry_Int_Tables_number 221
_symmetry_space_group_name_Hall '-P 4 2 3'
_cell_length_a 4.042
_cell_length_b 4.042
_cell_length_c 4.042
_cell_angle_alpha 90.00
_cell_angle_beta 90.00
_cell_angle_gamma 90.00
loop_
_atom_site_label
_atom_site_type_symbol
_atom_site_fract_x
_atom_site_fract_y
_atom_site_fract_z
H1 H 0.000 0.000 0.000
H2 H 0.000 0.500 0.500
Pb1 Pb 0.500 0.500 0.500
```

---

7.
Compound: HPd3Pb
Source: the Alexandria database
Functional: GGA-PBE
Structure: relaxed

Summary:
Relative energy among the computed polymorphs, meV per atom: 221.1
E_tot, eV/atom: -4.53
Fermi-level density of states, states/eV/atom: 0.515

Cell and atoms, written as CIF:
```
data_HPd3Pb
_chemical_formula_sum 'H2 Pd6 Pb2'
_symmetry_space_group_name_H-M 'P 63/m m c'
_symmetry_Int_Tables_number 194
_symmetry_space_group_name_Hall '-P 6c 2c'
_cell_length_a 3.2053
_cell_length_b 3.2053
_cell_length_c 17.3226
_cell_angle_alpha 90.00
_cell_angle_beta 90.00
_cell_angle_gamma 120.00
loop_
_atom_site_label
_atom_site_type_symbol
_atom_site_fract_x
_atom_site_fract_y
_atom_site_fract_z
H1 H 0.3333 0.6667 0.2500
Pd1 Pd 0.0000 0.0000 0.2500
Pd2 Pd 0.3333 0.6667 0.1241
Pb1 Pb 0.0000 0.0000 0.0000
```

---

8.
Compound: H8Pd6Pb
Source: the Alexandria database
Functional: GGA-PBE
Structure: relaxed

Summary:
E_tot, eV/atom: -4.16
Fermi-level density of states, states/eV/atom: 0.159

Cell and atoms, written as CIF:
```
data_H8Pd6Pb
_chemical_formula_sum 'H24 Pd18 Pb3'
_symmetry_space_group_name_H-M 'R -3'
_symmetry_Int_Tables_number 148
_symmetry_space_group_name_Hall '-R 3'
_cell_length_a 8.3338
_cell_length_b 8.3338
_cell_length_c 7.3408
_cell_angle_alpha 90.00
_cell_angle_beta 90.00
_cell_angle_gamma 120.00
loop_
_atom_site_label
_atom_site_type_symbol
_atom_site_fract_x
_atom_site_fract_y
_atom_site_fract_z
H1 H 0.0000 0.0000 0.1464
H2 H 0.0018 0.3466 0.9996
Pd1 Pd 0.0793 0.5415 0.8165
Pb1 Pb 0.0000 0.0000 0.5000
```

---

9.
Compound: HPd5Pb4
Source: the Alexandria database
Functional: GGA-PBE
Structure: relaxed

Summary:
E_tot, eV/atom: -4.56
Fermi-level density of states, states/eV/atom: 0.521

Cell and atoms, written as CIF:
```
data_HPd5Pb4
_chemical_formula_sum 'H2 Pd10 Pb8'
_symmetry_space_group_name_H-M 'I 4 m m'
_symmetry_Int_Tables_number 107
_symmetry_space_group_name_Hall 'I 4 -2'
_cell_length_a 9.212
_cell_length_b 9.212
_cell_length_c 4.418
_cell_angle_alpha 90.00
_cell_angle_beta 90.00
_cell_angle_gamma 90.00
loop_
_atom_site_label
_atom_site_type_symbol
_atom_site_fract_x
_atom_site_fract_y
_atom_site_fract_z
H1 H 0.000 0.000 0.000
Pd1 Pd 0.000 0.000 0.593
Pd2 Pd 0.162 0.162 0.080
Pb1 Pb 0.000 0.304 0.575
```

---

10.
Compound: HPd4Pb5
Source: the Alexandria database
Functional: GGA-PBE
Structure: relaxed

Summary:
E_tot, eV/atom: -4.40
Fermi-level density of states, states/eV/atom: 0.398

Cell and atoms, written as CIF:
```
data_HPd4Pb5
_chemical_formula_sum 'H1 Pd4 Pb5'
_symmetry_space_group_name_H-M 'P 1'
_symmetry_Int_Tables_number 1
_cell_length_a 3.567
_cell_length_b 7.413
_cell_length_c 8.451
_cell_angle_alpha 78.47
_cell_angle_beta 77.82
_cell_angle_gamma 89.80
loop_
_symmetry_equiv_pos_as_xyz
'x,y,z'
loop_
_atom_site_label
_atom_site_type_symbol
_atom_site_fract_x
_atom_site_fract_y
_atom_site_fract_z
H1 H 0.000 0.000 0.000
Pd1 Pd 0.061 0.943 0.223
Pd2 Pd 0.284 0.058 0.777
Pd3 Pd 0.666 0.195 0.008
Pd4 Pd 0.673 0.806 0.992
Pb1 Pb 0.171 0.501 0.000
Pb2 Pb 0.489 0.175 0.366
Pb3 Pb 0.508 0.641 0.336
Pb4 Pb 0.840 0.361 0.664
Pb5 Pb 0.858 0.828 0.633
```